Compound: MoRh2N
Source: Alexandria
Functional: PBE
Structure: relaxed

Crystal system ... tetragonal
Energy relative to the elements, uncorrected ... 236 kJ/mol of formula units

Unit cell a=5.182 b=5.182 c=9.596 alpha=90.00 beta=90.00 gamma=90.00
Space group I-42d (No. 122)
Inequivalent atoms, fractional coordinates:
Mo 0.000 0.000 0.000 [4 per cell]
Rh 0.172 0.250 0.625 [8 per cell]
N 0.000 0.000 0.500 [4 per cell]

***

Compound: Tb3Sm
Source: Alexandria
Functional: PBE
Structure: relaxed

Crystal system ... tetragonal
Energy relative to the elements ... 13 meV per atom

Unit cell a=5.052 b=5.052 c=10.137 alpha=90.00 beta=90.00 gamma=90.00
Space group I4/mmm (No. 139)
Inequivalent atoms, fractional coordinates:
Tb 0.000 0.000 0.000 [2 per cell]
Tb 0.000 0.500 0.250 [4 per cell]
Sm 0.000 0.000 0.500 [2 per cell]

***

Compound: GaAgSbOsPt
Source: Alexandria
Functional: PBE
Structure: relaxed

Crystal system ... trigonal
Energy relative to the elements, uncorrected ... 94 kJ/mol of formula units

Unit cell a=4.4184 b=4.4184 c=15.3795 alpha=90.00 beta=90.00 gamma=120.00
Space group R3m (No. 160, hexagonal axes)
Inequivalent atoms, fractional coordinates:
Ga 0.0000 0.0000 0.0000 [3 per cell]
Ag 0.0000 0.0000 0.5958 [3 per cell]
Sb 0.0000 0.0000 0.7848 [3 per cell]
Os 0.0000 0.0000 0.3855 [3 per cell]
Pt 0.0000 0.0000 0.1771 [3 per cell]

***

Compound: Pm2HoPd2
Source: Alexandria
Functional: PBE
Structure: relaxed

Crystal system ... tetragonal
Energy relative to the elements ... -680 meV per atom

Unit cell a=7.900 b=7.900 c=4.039 alpha=90.00 beta=90.00 gamma=90.00
Space group P4/mbm (No. 127)
Inequivalent atoms, fractional coordinates:
Pm 0.168 0.332 0.000 [4 per cell]
Ho 0.000 0.000 0.500 [2 per cell]
Pd 0.130 0.630 0.500 [4 per cell]

***

Compound: Be2POs
Source: Alexandria
Functional: PBE
Structure: relaxed

Crystal system ... orthorhombic
Energy relative to the elements ... -32 meV per atom

Unit cell a=3.074 b=3.792 c=7.304 alpha=90.00 beta=90.00 gamma=90.00
Space group Imm2 (No. 44)
Inequivalent atoms, fractional coordinates:
Be 0.000 0.000 0.000 [2 per cell]
Be 0.000 0.500 0.266 [2 per cell]
P 0.000 0.500 0.738 [2 per cell]
Os 0.000 0.000 0.498 [2 per cell]

***

Compound: Zr2MnFeH
Source: Alexandria
Functional: PBE
Structure: relaxed

Crystal system ... tetragonal
E ... -38.88 eV per formula unit

Unit cell a=4.517 b=4.517 c=3.292 alpha=90.00 beta=90.00 gamma=90.00
Space group P4/mmm (No. 123)
Inequivalent atoms, fractional coordinates:
Zr 0.000 0.500 0.000 [2 per cell]
Mn 0.000 0.000 0.500 [1 per cell]
Fe 0.500 0.500 0.500 [1 per cell]
H 0.000 0.000 0.000 [1 per cell]

***

Compound: Sm7Pd2Au2
Source: Alexandria
Functional: PBE
Structure: relaxed

Crystal system ... orthorhombic
Energy relative to the elements ... -390 meV per atom

Unit cell a=7.929 b=11.095 c=7.281 alpha=90.00 beta=90.00 gamma=90.00
Space group Cmmm (No. 65)
Inequivalent atoms, fractional coordinates:
Sm 0.000 0.000 0.000 [2 per cell]
Sm 0.000 0.500 0.260 [4 per cell]
Sm 0.250 0.250 0.266 [8 per cell]
Pd 0.000 0.290 0.000 [4 per cell]
Au 0.185 0.000 0.500 [4 per cell]

***

Compound: BaSrHg2
Source: Alexandria
Functional: PBE
Structure: relaxed

Crystal system ... cubic
Energy relative to the elements ... -274 meV per atom

Unit cell a=7.944 b=7.944 c=7.944 alpha=90.00 beta=90.00 gamma=90.00
Space group F-43m (No. 216)
Inequivalent atoms, fractional coordinates:
Ba 0.000 0.000 0.000 [4 per cell]
Sr 0.250 0.250 0.750 [4 per cell]
Hg 0.000 0.000 0.500 [4 per cell]
Hg 0.250 0.250 0.250 [4 per cell]

***

Compound: Ac2Pm3Ag2
Source: Alexandria
Functional: PBE
Structure: relaxed

Crystal system ... orthorhombic
Energy relative to the elements ... -73 meV per atom

Unit cell a=3.823 b=31.777 c=3.795 alpha=90.00 beta=90.00 gamma=90.00
Space group Cmmm (No. 65)
Inequivalent atoms, fractional coordinates:
Ac 0.000 0.198 0.000 [4 per cell]
Pm 0.000 0.078 0.000 [4 per cell]
Pm 0.000 0.500 0.500 [2 per cell]
Ag 0.000 0.369 0.500 [4 per cell]

***

Compound: VFeAu
Source: Alexandria
Functional: PBE
Structure: relaxed

Crystal system ... tetragonal
Energy relative to the elements ... -2 meV per atom

Unit cell a=3.111 b=3.111 c=8.887 alpha=90.00 beta=90.00 gamma=90.00
Space group I4mm (No. 107)
Inequivalent atoms, fractional coordinates:
V 0.000 0.000 0.000 [2 per cell]
Fe 0.000 0.000 0.623 [2 per cell]
Au 0.000 0.000 0.311 [2 per cell]

***

Compound: Tm2AlTe4
Source: Alexandria
Functional: PBE
Structure: relaxed

Crystal system ... tetragonal
Energy relative to the elements, uncorrected ... -499 kJ/mol of formula units

Unit cell a=6.572 b=6.572 c=13.058 alpha=90.00 beta=90.00 gamma=90.00
Space group I-42m (No. 121)
Inequivalent atoms, fractional coordinates:
Tm 0.000 0.500 0.250 [4 per cell]
Al 0.000 0.000 0.000 [2 per cell]
Te 0.248 0.248 0.113 [8 per cell]

***

Compound: LiDyScS3
Source: Alexandria
Functional: PBE
Structure: relaxed

Crystal system ... monoclinic
Energy relative to the elements, uncorrected ... -1019 kJ/mol of formula units

Unit cell a=7.702 b=3.717 c=8.213 alpha=90.00 beta=103.88 gamma=90.00
Space group P2_1/m (No. 11)
Inequivalent atoms, fractional coordinates:
Li 0.092 0.250 0.088 [2 per cell]
Dy 0.194 0.250 0.728 [2 per cell]
Sc 0.339 0.750 0.342 [2 per cell]
S 0.098 0.250 0.372 [2 per cell]
S 0.228 0.750 0.000 [2 per cell]
S 0.434 0.750 0.670 [2 per cell]